Here is a geometry-optimized Sc2MnIn structure from Alexandria. Energies are from PBE.

Unit cell a=7.565 b=7.565 c=6.051 alpha=51.31 beta=51.31 gamma=90.00
Fractional positions:
Mn (0.500, 0.500, 0.000)
In (0.000, 0.000, 0.000)
In (0.750, 0.250, 0.500)
Sc (0.375, 0.437, 0.750)
Sc (0.875, 0.813, 0.750)
Sc (0.563, 0.125, 0.250)
Sc (0.187, 0.625, 0.250)
Mn (0.250, 0.750, 0.500)

Results
- theoretical density (g cm⁻³) = 5.33
- ΔH_f (0 K) (eV per atom) = 0.28
- symmetry = I-42d

Here is a geometry-optimized Sc2MnIn2 structure from Alexandria. Energies are from PBE.

Unit cell a=7.205 b=7.205 c=4.298 alpha=90.00 beta=90.00 gamma=90.00
Each line ends with the local moment (μB).
Fractional positions:
Sc (0.167, 0.667, 0.500)  -0.10
Mn (0.000, 0.000, 0.000)  3.66
Mn (0.500, 0.500, 0.000)  3.66
Sc (0.667, 0.833, 0.500)  -0.10
In (0.640, 0.140, 0.000)  -0.06
Sc (0.333, 0.167, 0.500)  -0.10
In (0.140, 0.360, 0.000)  -0.06
Sc (0.833, 0.333, 0.500)  -0.10
In (0.360, 0.860, 0.000)  -0.06
In (0.860, 0.640, 0.000)  -0.06

Results
- theoretical density (g cm⁻³) = 5.57
- ΔH_f (0 K) (eV per atom) = -0.12
- symmetry = P4/mbm

Here is a geometry-optimized Sc3MnIn structure from Alexandria. Energies are from PBE.

Unit cell a=4.842 b=4.842 c=4.842 alpha=90.00 beta=90.00 gamma=90.00
Fractional positions:
Sc (0.000, 0.500, 0.000)
Sc (0.500, 0.000, 0.000)
In (0.500, 0.500, 0.500)
Mn (0.000, 0.000, 0.000)
Sc (0.000, 0.000, 0.500)

Results
- theoretical density (g cm⁻³) = 4.46
- ΔH_f (0 K) (eV per atom) = 0.08
- symmetry = Pm-3m
- energy above the most stable polymorph in this dataset (eV/f.u.) = 0.00

Here is a geometry-optimized Sc2MnIn structure from Alexandria. Energies are from PBE.

Unit cell a=3.353 b=3.351 c=7.911 alpha=64.95 beta=90.00 gamma=90.00
Each line ends with the local moment (μB).
Fractional positions:
Sc (0.000, 0.030, 0.970)  -0.25
Sc (0.000, 0.470, 0.530)  -0.25
Mn (0.500, 0.750, 0.750)  2.85
In (0.500, 0.250, 0.250)  0.00

Results
- theoretical density (g cm⁻³) = 5.35
- ΔH_f (0 K) (eV per atom) = -0.21
- symmetry = P4/mmm

Here is a geometry-optimized ScMn2In structure from Alexandria. Energies are from PBE.

Unit cell a=3.703 b=3.091 c=6.810 alpha=62.94 beta=90.00 gamma=90.00
Each line ends with the local moment (μB).
Fractional positions:
In (0.500, 0.750, 0.750)  -0.14
Mn (0.000, 0.504, 0.496)  2.91
Sc (0.500, 0.250, 0.250)  -0.39
Mn (0.000, 0.996, 0.004)  2.91

Results
- theoretical density (g cm⁻³) = 6.45
- ΔH_f (0 K) (eV per atom) = 0.11
- symmetry = Pmmm

Here is a geometry-optimized ScMn2In structure from Alexandria. Energies are from PBE.

Unit cell a=5.180 b=5.180 c=5.180 alpha=134.37 beta=134.37 gamma=66.52
Each line ends with the local moment (μB).
Fractional positions:
Sc (0.500, 0.500, 0.000)  -0.37
Mn (0.000, 0.000, 0.000)  3.00
Mn (0.250, 0.750, 0.500)  3.21
In (0.750, 0.250, 0.500)  -0.13

Results
- theoretical density (g cm⁻³) = 6.41
- ΔH_f (0 K) (eV per atom) = 0.03
- symmetry = I-4m2

Number 1: Fermi-level density of states 8.61 states/eV per cell. Number 2: Fermi-level density of states 8.21 states/eV per cell. Number 3: Fermi-level density of states 5.93 states/eV per cell. Number 4: Fermi-level density of states 4.54 states/eV per cell. Number 5: Fermi-level density of states 4.44 states/eV per cell. Number 6: Fermi-level density of states 3.63 states/eV per cell.